#P
## Sr2TaCu (PBE)

Data for crystalline Sr2TaCu at its relaxed geometry.

Summary:
**SG**: No. 225
**Theoretical density**: 5.87 g/cm3

a = 5.5155 Å, b = 5.5155 Å, c = 5.5155 Å
α = 60.00°, β = 60.00°, γ = 60.00°
Last column: magnetic moment on the atom in μB.
Sites, in units of the cell vectors:
Sr  0.2500  0.2500  0.2500  0.12
Sr  0.7500  0.7500  0.7500  0.12
Cu  0.0000  0.0000  0.0000  0.04
Ta  0.5000  0.5000  0.5000  2.09

#Q
## Sr2TaCu (PBE)

Data for crystalline Sr2TaCu at its relaxed geometry.

Summary:
**SG**: No. 123
**Theoretical density**: 6.58 g/cm3

a = 3.3480 Å, b = 3.3485 Å, c = 10.0187 Å
α = 70.49°, β = 90.00°, γ = 90.00°
Sites, in units of the cell vectors:
Sr  0.0000  0.4809  0.5190
Sr  0.0000  0.0191  0.9810
Cu  0.5000  0.7500  0.7500
Ta  0.5000  0.2500  0.2500

In eV/atom, relative to the most stable structure: #P 0.294; #Q 0.000.

#P
## Sr2TaCu (PBE)

Data for crystalline Sr2TaCu at its relaxed geometry.

Summary:
**SG**: No. 119
**Theoretical density**: 6.10 g/cm3

a = 6.1481 Å, b = 6.1481 Å, c = 6.1481 Å
α = 135.05°, β = 135.05°, γ = 65.45°
Last column: magnetic moment on the atom in μB.
Sites, in units of the cell vectors:
Sr  0.2500  0.7500  0.5000  0.12
Sr  0.0000  0.0000  0.0000  0.12
Ta  0.5000  0.5000  0.0000  1.80
Cu  0.7500  0.2500  0.5000  0.06

#Q
## Sr2TaCu (PBE)

Data for crystalline Sr2TaCu at its relaxed geometry.

Summary:
**SG**: No. 216
**Theoretical density**: 6.55 g/cm3

a = 5.3188 Å, b = 5.3188 Å, c = 5.3188 Å
α = 60.00°, β = 60.00°, γ = 60.00°
Last column: magnetic moment on the atom in μB.
Sites, in units of the cell vectors:
Ta  0.7500  0.7500  0.7500  1.66
Sr  0.2500  0.2500  0.2500  0.06
Sr  0.0000  0.0000  0.0000  0.17
Cu  0.5000  0.5000  0.5000  0.09

#R
## Sr2TaCu (PBE)

Data for crystalline Sr2TaCu at its relaxed geometry.

Summary:
**SG**: No. 44
**Theoretical density**: 6.19 g/cm3

a = 6.7287 Å, b = 6.7287 Å, c = 5.5462 Å
α = 65.67°, β = 65.67°, γ = 29.74°
Last column: magnetic moment on the atom in μB.
Sites, in units of the cell vectors:
Cu  0.2170  0.2170  0.2829  0.07
Sr  0.9642  0.9642  0.0359  0.05
Sr  0.7598  0.7598  0.7403  0.01
Ta  0.5591  0.5591  0.4410  0.71

In eV/atom, relative to the most stable structure: #P 0.377; #Q 0.422; #R 0.000.

#P
## SrTaCu2 (PBE)

Data for crystalline SrTaCu2 at its relaxed geometry.

Summary:
**SG**: No. 8
**Theoretical density**: 8.86 g/cm3

a = 5.4846 Å, b = 5.4846 Å, c = 5.1218 Å
α = 74.68°, β = 74.68°, γ = 30.04°
Sites, in units of the cell vectors:
Cu  0.2823  0.2823  0.2700
Cu  0.9732  0.9732  0.9588
Ta  0.7252  0.7252  0.8285
Sr  0.5194  0.5194  0.4427

#Q
## SrTaCu2 (PBE)

Data for crystalline SrTaCu2 at its relaxed geometry.

Summary:
**SG**: No. 99
**Theoretical density**: 8.47 g/cm3

a = 3.1817 Å, b = 3.1817 Å, c = 7.6628 Å
α = 90.00°, β = 90.00°, γ = 90.00°
Last column: magnetic moment on the atom in μB.
Sites, in units of the cell vectors:
Cu  0.5000  0.5000  0.1760  0.01
Cu  0.0000  0.0000  0.0254  0.01
Sr  0.0000  0.0000  0.4735  0.03
Ta  0.5000  0.5000  0.8251  0.18

#R
## SrTaCu2 (PBE)

Data for crystalline SrTaCu2 at its relaxed geometry.

Summary:
**SG**: No. 122
**Theoretical density**: 7.05 g/cm3

a = 7.3068 Å, b = 7.3068 Å, c = 6.2364 Å
α = 54.14°, β = 54.14°, γ = 90.00°
Sites, in units of the cell vectors:
Sr  0.5000  0.5000  0.0000
Sr  0.2500  0.7500  0.5000
Ta  0.0000  0.0000  0.0000
Ta  0.7500  0.2500  0.5000
Cu  0.0678  0.6250  0.2500
Cu  0.3750  0.3178  0.7500
Cu  0.6822  0.1250  0.2500
Cu  0.8750  0.9322  0.7500

In eV/atom, relative to the most stable structure: #P 0.065; #Q 0.000; #R 0.327.

#P
## SrTaCu (PBE)

Data for crystalline SrTaCu at its relaxed geometry.

Summary:
**SG**: No. 8
**Theoretical density**: 7.77 g/cm3

a = 4.4025 Å, b = 8.0154 Å, c = 5.5391 Å
α = 50.91°, β = 90.00°, γ = 105.92°
Sites, in units of the cell vectors:
Ta  0.4078  0.1455  0.2877
Ta  0.8506  0.0310  0.6724
Sr  0.6805  0.6899  0.4901
Sr  0.1239  0.5773  0.1052
Cu  0.4071  0.1442  0.7942
Cu  0.9422  0.2148  0.9681

#Q
## SrTaCu (PBE)

Data for crystalline SrTaCu at its relaxed geometry.

Summary:
**SG**: No. 2
**Theoretical density**: 7.99 g/cm3

a = 6.5889 Å, b = 3.2071 Å, c = 8.2267 Å
α = 78.73°, β = 55.16°, γ = 75.95°
Sites, in units of the cell vectors:
Ta  0.1077  0.8484  0.3640
Ta  0.3221  0.4059  0.0373
Cu  0.7154  0.8185  0.8165
Cu  0.7142  0.4354  0.5845
Sr  0.7149  0.1273  0.2007
Sr  0.2148  0.1272  0.7008

#R
## SrTaCu (PBE)

Data for crystalline SrTaCu at its relaxed geometry.

Summary:
**SG**: No. 46
**Theoretical density**: 7.87 g/cm3

a = 6.0015 Å, b = 6.0041 Å, c = 4.5400 Å
α = 67.78°, β = 112.21°, γ = 100.25°
Sites, in units of the cell vectors:
Sr  0.3063  0.6028  0.1829
Sr  0.9432  0.9662  0.3197
Cu  0.8821  0.3626  0.5912
Cu  0.7025  0.5428  0.9108
Ta  0.5475  0.0222  0.5937
Ta  0.3627  0.2073  0.9088

In eV/atom, relative to the most stable structure: #P 0.000; #Q 0.044; #R 0.086.